Record 1
Pu2Ni3P4Rh: optimized geometry, GGA-PBE.

Structure (CIF):
```
data_Pu2Ni3P4Rh
_cell_length_a 4.0260
_cell_length_b 4.0260
_cell_length_c 9.2002
_cell_angle_alpha 90.00
_cell_angle_beta 90.00
_cell_angle_gamma 90.00
_space_group_name_H-M_alt 'P -4 m 2'
_space_group_IT_number 115
loop_
_space_group_symop_operation_xyz
'x,y,z'
'y,-x,-z'
'-x,-y,z'
'-y,x,-z'
'-x,y,z'
'-y,-x,-z'
'x,-y,z'
'y,x,-z'
loop_
_atom_site_label
_atom_site_fract_x
_atom_site_fract_y
_atom_site_fract_z
Pu1 0.0000 0.5000 0.2369
Ni1 0.0000 0.5000 0.8876
Ni2 0.5000 0.5000 0.5000
P1 0.0000 0.0000 0.0000
P2 0.0000 0.5000 0.6428
P3 0.5000 0.5000 0.0000
Rh1 0.0000 0.0000 0.5000
```

Output
Crystal system: tetragonal



Record 2
Pu2Ni4P3Rh: optimized geometry, GGA-PBE.

Structure (CIF):
```
data_Pu2Ni4P3Rh
_cell_length_a 3.8212
_cell_length_b 3.8212
_cell_length_c 10.0752
_cell_angle_alpha 90.00
_cell_angle_beta 90.00
_cell_angle_gamma 90.00
_space_group_name_H-M_alt 'P -4 m 2'
_space_group_IT_number 115
loop_
_space_group_symop_operation_xyz
'x,y,z'
'y,-x,-z'
'-x,-y,z'
'-y,x,-z'
'-x,y,z'
'-y,-x,-z'
'x,-y,z'
'y,x,-z'
loop_
_atom_site_label
_atom_site_fract_x
_atom_site_fract_y
_atom_site_fract_z
Pu1 0.0000 0.5000 0.2486
Ni1 0.0000 0.0000 0.5000
Ni2 0.0000 0.5000 0.8427
Ni3 0.5000 0.5000 0.5000
P1 0.0000 0.0000 0.0000
P2 0.0000 0.5000 0.6247
Rh1 0.5000 0.5000 0.0000
```

Output
Crystal system: tetragonal



Record 3
Pu2Ni4P3Ru: optimized geometry, GGA-PBE.

Structure (CIF):
```
data_Pu2Ni4P3Ru
_cell_length_a 3.8181
_cell_length_b 3.8181
_cell_length_c 10.0525
_cell_angle_alpha 90.00
_cell_angle_beta 90.00
_cell_angle_gamma 90.00
_space_group_name_H-M_alt 'P -4 m 2'
_space_group_IT_number 115
loop_
_space_group_symop_operation_xyz
'x,y,z'
'y,-x,-z'
'-x,-y,z'
'-y,x,-z'
'-x,y,z'
'-y,-x,-z'
'x,-y,z'
'y,x,-z'
loop_
_atom_site_label
_atom_site_fract_x
_atom_site_fract_y
_atom_site_fract_z
Pu1 0.0000 0.5000 0.2487
Ni1 0.0000 0.0000 0.5000
Ni2 0.0000 0.5000 0.8447
Ni3 0.5000 0.5000 0.5000
P1 0.0000 0.0000 0.0000
P2 0.0000 0.5000 0.6252
Ru1 0.5000 0.5000 0.0000
```

Output
Crystal system: tetragonal



Record 4
PuScNi2P2: optimized geometry, GGA-PBE.

Structure (CIF):
```
data_PuScNi2P2
_cell_length_a 3.8647
_cell_length_b 3.8647
_cell_length_c 7.4193
_cell_angle_alpha 90.00
_cell_angle_beta 90.00
_cell_angle_gamma 120.00
_space_group_name_H-M_alt 'P -3 m 1'
_space_group_IT_number 164
_space_group_name_Hall '-P 3 2"'
loop_
_atom_site_label
_atom_site_fract_x
_atom_site_fract_y
_atom_site_fract_z
Pu1 0.0000 0.0000 0.0000
Sc1 0.0000 0.0000 0.5000
Ni1 0.3333 0.6667 0.7313
P1 0.3333 0.6667 0.2635
```

Output
Crystal system: trigonal



Across the entries above, theoretical density takes the values 9921 10369 10388 8103 kg/m³, respectively.
Across the entries above, ΔH_f (0 K) takes the values -0.86 -0.68 -0.61 -1.03 eV/atom, respectively.